Here is a relaxed structure of CsBaTbCl6 from Alexandria. Energies are from PBE.

Cell lengths 7.7416, 7.7416, 14.3431 Å; angles 90.00, 90.00, 120.00 degrees
Atoms (fractional coordinates):
Cs: 0.0000 0.0000 0.0000
Cs: 0.0000 0.0000 0.5000
Cl: 0.6053 0.6456 0.6431
Cl: 0.0404 0.6456 0.8569
Cl: 0.6456 0.0404 0.3569
Cl: 0.3544 0.9596 0.6431
Cl: 0.3544 0.3947 0.8569
Cl: 0.3947 0.0404 0.1431
Cl: 0.9596 0.3544 0.1431
Cl: 0.9596 0.6053 0.3569
Cl: 0.6456 0.6053 0.1431
Cl: 0.3947 0.3544 0.3569
Cl: 0.0404 0.3947 0.6431
Cl: 0.6053 0.9596 0.8569
Tb: 0.6667 0.3333 0.2500
Tb: 0.3333 0.6667 0.7500
Ba: 0.3333 0.6667 0.2500
Ba: 0.6667 0.3333 0.7500

Values from the calculation:
E_form (uncorrected)	-2021.8	kJ/mol of formula units
raw total energy	-4.382	eV/atom
SG	P-31c, No. 163